# PrSm6Tm3

A geometry-optimized PrSm6Tm3 structure (PBE-GGA, Alexandria via LeMat-Bulk).

a b c (Å): 6.268 11.061 11.061
angles (deg): 120.28 90.00 90.00
Fractional positions:
Tm1 0.084 0.385 0.615
Tm2 0.463 0.286 0.059
Tm3 0.584 0.615 0.385
Tm4 0.963 0.714 0.941
Tm5 0.963 0.059 0.286
Tm6 0.463 0.941 0.714
Sm1 0.370 0.053 0.472
Sm2 0.544 0.291 0.374
Sm3 0.044 0.374 0.291
Sm4 0.870 0.947 0.528
Sm5 0.644 0.281 0.719
Sm6 0.144 0.719 0.281
Sm7 0.044 0.709 0.626
Sm8 0.370 0.528 0.947
Sm9 0.887 0.039 0.961
Sm10 0.544 0.626 0.709
Sm11 0.387 0.961 0.039
Sm12 0.870 0.472 0.053
Pr1 0.617 0.803 0.197
Pr2 0.117 0.197 0.803

Output
Formation energy = 0.15 eV per atom



# DyHoZn4

A geometry-optimized DyHoZn4 structure (PBE-GGA, Alexandria via LeMat-Bulk).

a b c (Å): 5.449 5.449 5.449
angles (deg): 60.00 60.00 60.00
Fractional positions:
Ho1 0.250 0.250 0.250
Zn1 0.125 0.625 0.625
Zn2 0.625 0.625 0.625
Zn3 0.625 0.125 0.625
Zn4 0.625 0.625 0.125
Dy1 0.000 0.000 0.000

Output
Formation energy = -0.34 eV per atom



# CsZn2CoW

A geometry-optimized CsZn2CoW structure (PBE-GGA, Alexandria via LeMat-Bulk).

a b c (Å): 5.723 4.899 5.723
angles (deg): 90.00 90.00 90.00
Last column: magnetic moment on the atom in μB.
Fractional positions:
Co1 0.000 0.500 0.000  1.34
Zn1 0.500 0.000 0.000  0.01
Zn2 0.000 0.000 0.500  0.01
W1 0.500 0.500 0.500  3.29
Cs1 0.000 0.000 0.000  -0.02

Output
Formation energy = 2.73 eV per atom



# HoCdC

A geometry-optimized HoCdC structure (PBE-GGA, Alexandria via LeMat-Bulk).

a b c (Å): 3.550 3.785 10.826
angles (deg): 103.29 90.11 61.74
Fractional positions:
Cd1 0.684 0.503 0.112
Cd2 0.900 0.065 0.323
Ho1 0.479 0.916 0.565
Ho2 0.475 0.924 0.876
C1 0.739 0.395 0.671
C2 0.861 0.150 0.753

Output
Formation energy = -0.11 eV per atom



# RbNbBiI2

A geometry-optimized RbNbBiI2 structure (PBE-GGA, Alexandria via LeMat-Bulk).

a b c (Å): 6.518 6.703 6.518
angles (deg): 90.00 90.00 90.00
Last column: magnetic moment on the atom in μB.
Fractional positions:
I1 0.000 0.000 0.500  -0.10
I2 0.500 0.000 0.000  -0.10
Bi1 0.000 0.500 0.000  -1.44
Nb1 0.500 0.500 0.500  3.03
Rb1 0.000 0.000 0.000  -0.04

Output
ΔE_f (raw) = 1.2039 eV/atom



# Ba2HgMo

A geometry-optimized Ba2HgMo structure (PBE-GGA, Alexandria via LeMat-Bulk).

a b c (Å): 6.399 6.399 6.399
angles (deg): 133.86 133.86 67.30
Last column: magnetic moment on the atom in μB.
Fractional positions:
Ba1 0.250 0.750 0.500  -0.07
Ba2 0.000 0.000 0.000  -0.06
Hg1 0.500 0.500 0.000  -0.06
Mo1 0.750 0.250 0.500  2.90

Output
Formation energy = 0.70 eV per atom



# La3PmInFe

A geometry-optimized La3PmInFe structure (PBE-GGA, Alexandria via LeMat-Bulk).

a b c (Å): 9.340 9.340 6.103
angles (deg): 109.21 109.21 45.67
Fractional positions:
Pm1 0.736 0.264 0.500
Pm2 0.264 0.736 0.500
In1 0.691 0.691 0.692
In2 0.309 0.309 0.308
La1 0.860 0.377 0.129
La2 0.190 0.190 0.677
La3 0.140 0.623 0.871
La4 0.623 0.140 0.871
La5 0.810 0.810 0.323
La6 0.377 0.860 0.129
Fe1 0.023 0.023 0.199
Fe2 0.977 0.977 0.801

Output
Formation energy = -0.18 eV per atom



# Y2Mo

A geometry-optimized Y2Mo structure (PBE-GGA, Alexandria via LeMat-Bulk).

a b c (Å): 6.137 6.137 6.137
angles (deg): 55.54 55.54 55.54
Fractional positions:
Mo1 0.332 0.332 0.332
Mo2 0.668 0.668 0.668
Y1 0.000 0.000 0.000
Y2 0.181 0.500 0.819
Y3 0.819 0.181 0.500
Y4 0.500 0.819 0.181

Output
Formation energy = 0.56 eV per atom



# CsCd7Hg12

A geometry-optimized CsCd7Hg12 structure (PBE-GGA, Alexandria via LeMat-Bulk).

a b c (Å): 9.418 9.418 9.418
angles (deg): 109.47 109.47 109.47
Fractional positions:
Hg1 0.567 0.340 0.226
Hg2 0.340 0.774 0.114
Hg3 0.340 0.226 0.567
Hg4 0.660 0.774 0.433
Hg5 0.774 0.433 0.660
Hg6 0.660 0.226 0.886
Hg7 0.226 0.886 0.660
Hg8 0.433 0.660 0.774
Hg9 0.774 0.114 0.340
Hg10 0.886 0.660 0.226
Hg11 0.114 0.340 0.774
Hg12 0.226 0.567 0.340
Cd1 0.500 0.000 0.000
Cd2 0.000 0.500 0.000
Cd3 0.500 0.500 0.000
Cd4 0.500 0.000 0.500
Cd5 0.500 0.500 0.500
Cd6 0.000 0.500 0.500
Cd7 0.000 0.000 0.500
Cs1 0.000 0.000 0.000

Output
Formation energy = 0.03 eV per atom



# PaSnAuO6

A geometry-optimized PaSnAuO6 structure (PBE-GGA, Alexandria via LeMat-Bulk).

a b c (Å): 5.637 5.637 9.131
angles (deg): 90.00 90.00 120.00
Last column: magnetic moment on the atom in μB.
Fractional positions:
O1 0.339 0.350 0.870  0.15
O2 0.989 0.650 0.370  0.15
O3 0.011 0.350 0.630  0.15
O4 0.350 0.339 0.370  0.15
O5 0.661 0.650 0.130  0.15
O6 0.650 0.989 0.870  0.15
O7 0.661 0.011 0.370  0.15
O8 0.339 0.989 0.630  0.15
O9 0.650 0.661 0.630  0.15
O10 0.011 0.661 0.870  0.15
O11 0.989 0.339 0.130  0.15
O12 0.350 0.011 0.130  0.15
Sn1 0.667 0.333 0.250  0.02
Sn2 0.333 0.667 0.750  0.02
Au1 0.000 0.000 0.500  0.79
Au2 0.000 0.000 0.000  0.79
Pa1 0.667 0.333 0.750  0.10
Pa2 0.333 0.667 0.250  0.10

Output
ΔE_f (raw) = -1.6275 eV/atom



# UTl2Re3O12

A geometry-optimized UTl2Re3O12 structure (PBE-GGA, Alexandria via LeMat-Bulk).

a b c (Å): 7.586 7.586 7.586
angles (deg): 57.74 57.74 57.74
Last column: magnetic moment on the atom in μB.
Fractional positions:
Re1 0.500 0.000 0.000  0.36
Re2 0.000 0.000 0.500  0.36
Re3 0.000 0.500 0.000  0.36
O1 0.700 0.065 0.700  0.04
O2 0.300 0.300 0.935  0.04
O3 0.662 0.075 0.075  0.01
O4 0.075 0.075 0.662  0.01
O5 0.065 0.700 0.700  0.04
O6 0.338 0.925 0.925  0.01
O7 0.925 0.925 0.338  0.01
O8 0.700 0.700 0.065  0.04
O9 0.075 0.662 0.075  0.01
O10 0.935 0.300 0.300  0.04
O11 0.925 0.338 0.925  0.01
O12 0.300 0.935 0.300  0.04
Tl1 0.345 0.345 0.345  0.00
Tl2 0.655 0.655 0.655  0.00
U1 0.000 0.000 0.000  0.00

Output
ΔE_f (raw) = -1.7630 eV/atom



# Li2ZnSn

A geometry-optimized Li2ZnSn structure (PBE-GGA, Alexandria via LeMat-Bulk).

a b c (Å): 3.165 3.165 9.220
angles (deg): 80.12 80.12 60.00
Fractional positions:
Li1 0.252 0.252 0.243
Li2 0.081 0.081 0.756
Sn1 0.500 0.500 0.499
Zn1 0.666 0.666 0.002

Output
Formation energy = -0.12 eV per atom



# SrAl3CuAg

A geometry-optimized SrAl3CuAg structure (PBE-GGA, Alexandria via LeMat-Bulk).

a b c (Å): 6.012 6.230 7.278
angles (deg): 115.34 90.00 90.00
Fractional positions:
Al1 0.750 0.869 0.737
Al2 0.500 0.287 0.000
Al3 0.500 0.713 0.000
Al4 0.250 0.131 0.263
Al5 0.000 0.713 0.000
Al6 0.000 0.287 0.000
Sr1 0.250 0.720 0.441
Sr2 0.750 0.280 0.559
Cu1 0.250 0.938 0.876
Cu2 0.750 0.062 0.124
Ag1 0.250 0.349 0.698
Ag2 0.750 0.651 0.302

Output
Formation energy = -0.13 eV per atom



# CeHoTlTc

A geometry-optimized CeHoTlTc structure (PBE-GGA, Alexandria via LeMat-Bulk).

a b c (Å): 5.129 5.129 5.129
angles (deg): 60.00 60.00 60.00
Fractional positions:
Tl1 0.000 0.000 0.000
Ce1 0.250 0.250 0.250
Ho1 0.750 0.750 0.750
Tc1 0.500 0.500 0.500

Output
Formation energy = -0.02 eV per atom



# Pr2InSb

A geometry-optimized Pr2InSb structure (PBE-GGA, Alexandria via LeMat-Bulk).

a b c (Å): 4.519 4.648 12.786
angles (deg): 100.47 90.00 90.00
Fractional positions:
Pr1 0.250 0.315 0.631
Pr2 0.250 0.065 0.129
Pr3 0.750 0.685 0.369
Pr4 0.750 0.935 0.871
Sb1 0.250 0.189 0.378
Sb2 0.750 0.811 0.622
In1 0.750 0.540 0.081
In2 0.250 0.460 0.919

Output
ΔE_f (raw) = -0.8098 eV/atom



# MgBeH

A geometry-optimized MgBeH structure (PBE-GGA, Alexandria via LeMat-Bulk).

a b c (Å): 3.928 3.676 5.116
angles (deg): 90.00 112.24 90.00
Fractional positions:
Mg1 0.863 0.750 0.733
Mg2 0.137 0.250 0.267
H1 0.547 0.250 0.642
H2 0.453 0.750 0.358
Be1 0.449 0.250 0.882
Be2 0.551 0.750 0.118



# TaAs

A geometry-optimized TaAs structure (PBE-GGA, Alexandria via LeMat-Bulk).

a b c (Å): 2.928 2.928 9.929
angles (deg): 90.00 90.00 106.24
Fractional positions:
As1 0.000 0.000 0.061
As2 0.500 0.500 0.689
Ta1 0.500 0.500 0.261
Ta2 0.000 0.000 0.489

Output
Formation energy = -0.23 eV per atom



# CaTlAg2Pd

A geometry-optimized CaTlAg2Pd structure (PBE-GGA, Alexandria via LeMat-Bulk).

a b c (Å): 5.186 5.111 5.186
angles (deg): 90.00 90.00 90.00
Fractional positions:
Ag1 0.500 0.000 0.000
Ag2 0.000 0.000 0.500
Pd1 0.000 0.000 0.000
Ca1 0.500 0.500 0.500
Tl1 0.000 0.500 0.000

Output
Formation energy = 0.06 eV per atom



# SrAu3N

A geometry-optimized SrAu3N structure (PBE-GGA, Alexandria via LeMat-Bulk).

a b c (Å): 6.037 6.037 6.037
angles (deg): 90.00 90.00 90.00
Last column: magnetic moment on the atom in μB.
Fractional positions:
Au1 0.000 0.000 0.500  -0.05
Au2 0.500 0.000 0.000  -0.01
Au3 0.000 0.500 0.000  -0.05
N1 0.500 0.500 0.500  1.92
Sr1 0.000 0.000 0.000  -0.01

Output
ΔE_f (raw) = 1.5498 eV/atom



# GaBiF2

A geometry-optimized GaBiF2 structure (PBE-GGA, Alexandria via LeMat-Bulk).

a b c (Å): 8.032 8.032 8.032
angles (deg): 25.57 25.57 25.57
Fractional positions:
Bi1 0.000 0.000 0.000
Ga1 0.500 0.500 0.500
F1 0.900 0.900 0.900
F2 0.100 0.100 0.100

Output
ΔE_f (raw) = -1.4431 eV/atom



# HfCrW

A geometry-optimized HfCrW structure (PBE-GGA, Alexandria via LeMat-Bulk).

a b c (Å): 5.409 4.611 9.356
angles (deg): 90.00 123.04 90.00
Fractional positions:
Hf1 0.326 0.500 0.153
Hf2 0.326 0.000 0.653
Hf3 0.674 0.500 0.847
Hf4 0.674 0.000 0.347
Cr1 0.150 0.000 0.318
Cr2 0.850 0.500 0.182
Cr3 0.850 0.000 0.682
Cr4 0.150 0.500 0.818
W1 0.500 0.000 0.000
W2 0.500 0.500 0.500
W3 0.000 0.000 0.000
W4 0.000 0.500 0.500

Output
Formation energy = 0.20 eV per atom



# Tb5Nd2HoTm

A geometry-optimized Tb5Nd2HoTm structure (PBE-GGA, Alexandria via LeMat-Bulk).

a b c (Å): 8.574 8.574 10.031
angles (deg): 115.30 115.30 90.00
Fractional positions:
Nd1 0.119 0.381 0.000
Nd2 0.381 0.881 0.000
Nd3 0.881 0.619 0.000
Nd4 0.619 0.119 0.000
Tb1 0.643 0.143 0.716
Tb2 0.000 0.000 0.000
Tb3 0.500 0.500 0.000
Tb4 0.927 0.427 0.284
Tb5 0.857 0.927 0.284
Tb6 0.357 0.857 0.284
Tb7 0.073 0.573 0.716
Tb8 0.143 0.073 0.716
Tb9 0.573 0.643 0.716
Tb10 0.427 0.357 0.284
Tm1 0.750 0.250 0.500
Tm2 0.250 0.750 0.500
Ho1 0.250 0.250 0.500
Ho2 0.750 0.750 0.500

Output
Formation energy = 0.28 eV per atom



# BaMgIn3

A geometry-optimized BaMgIn3 structure (PBE-GGA, Alexandria via LeMat-Bulk).

a b c (Å): 6.380 6.380 6.380
angles (deg): 90.00 90.00 90.00
Fractional positions:
In1 0.000 0.000 0.500
In2 0.500 0.000 0.000
In3 0.000 0.500 0.000
Ba1 0.000 0.000 0.000
Mg1 0.500 0.500 0.500

Output
Formation energy = 0.85 eV per atom



DOS at the Fermi energy in states/eV/cell, matching the order above: 28.981; 2.095; 3.641; 3.450; 6.120; 4.647; 10.616; 7.905; 7.095; 6.514; 7.977; 2.148; 3.339; 3.758; 4.932; 1.045; 1.611; 2.732; 7.343; 0.616; 12.448; 25.007; 7.451
Calculated total energy in eV/atom, matching the order above: -4.500; -2.715; -1.964; -5.015; -2.400; -3.049; -5.302; -7.364; -0.514; -6.797; -8.033; -2.392; -3.438; -5.827; -4.915; -2.803; -8.485; -2.997; -2.418; -4.106; -10.639; -4.360; -1.492
V in Å³/atom, matching the order above: 33.1; 19.1; 32.1; 20.6; 57.0; 33.5; 29.6; 24.4; 32.1; 14.0; 16.3; 19.6; 20.5; 23.9; 33.0; 11.4; 20.4; 27.5; 44.0; 21.2; 16.3; 32.6; 51.9